Here is crystalline CsZn2RuO at its relaxed geometry from the Alexandria database. Energies are from GGA-PBE.

Cell lengths 7.201, 5.686, 7.201 Å; angles 90.00, 90.00, 90.00 degrees
Last column: magnetic moment on the atom in μB.
Fractional positions:
Zn (0.000, 0.000, 0.500)  0.01
Zn (0.500, 0.000, 0.000)  0.01
Ru (0.000, 0.500, 0.000)  1.96
Cs (0.000, 0.000, 0.000)  -0.01
O (0.500, 0.500, 0.500)  1.13

Values from the calculation:
Size of the total moment   3.9 Bohr magnetons per cell
E_form (uncorrected)   1.9358 eV per atom
DOS(E_F)   1.840 states/eV/atom
SG   P4/mmm, No. 123

Here is crystalline CsZnRu2O at its relaxed geometry from the Alexandria database. Energies are from GGA-PBE.

Cell lengths 4.135, 6.225, 4.135 Å; angles 90.00, 90.00, 90.00 degrees
Last column: magnetic moment on the atom in μB.
Fractional positions:
Ru (0.000, 0.000, 0.500)  1.14
Ru (0.500, 0.000, 0.000)  1.37
O (0.000, 0.000, 0.000)  0.12
Cs (0.500, 0.500, 0.500)  -0.01
Zn (0.000, 0.500, 0.000)  -0.01

Values from the calculation:
Size of the total moment   2.7 Bohr magnetons per cell
E_form (uncorrected)   0.7618 eV per atom
DOS(E_F)   0.675 states/eV/atom
SG   P4/mmm, No. 123

Here is crystalline CsSO3 at its relaxed geometry from the Alexandria database. Energies are from GGA-PBE.

Cell lengths 4.380, 4.380, 4.380 Å; angles 90.00, 90.00, 90.00 degrees
Last column: magnetic moment on the atom in μB.
Fractional positions:
O (0.000, 0.500, 0.000)  0.14
O (0.000, 0.000, 0.500)  0.26
O (0.500, 0.000, 0.000)  0.18
S (0.500, 0.500, 0.500)  1.46
Cs (0.000, 0.000, 0.000)  -0.01

Values from the calculation:
Size of the total moment   2.9 Bohr magnetons per cell
E_form (uncorrected)   1.3690 eV per atom
DOS(E_F)   0.340 states/eV/atom
SG   Pm-3m, No. 221

Here is crystalline Cs6S2O at its relaxed geometry from the Alexandria database. Energies are from GGA-PBE.

Cell lengths 8.832, 7.714, 13.382 Å; angles 55.59, 90.00, 90.00 degrees
Last column: magnetic moment on the atom in μB.
Fractional positions:
Cs (0.159, 0.863, 0.445)  0.00
Cs (0.203, 0.289, 0.050)  0.00
Cs (0.473, 0.651, 0.757)  0.00
Cs (0.027, 0.651, 0.257)  0.00
Cs (0.297, 0.289, 0.550)  0.00
Cs (0.841, 0.137, 0.555)  0.00
Cs (0.703, 0.711, 0.450)  0.00
Cs (0.527, 0.349, 0.243)  0.00
Cs (0.973, 0.349, 0.743)  0.00
Cs (0.797, 0.711, 0.950)  0.00
Cs (0.659, 0.137, 0.055)  0.00
Cs (0.341, 0.863, 0.945)  0.00
S (0.903, 0.227, 0.244)  -0.02
S (0.097, 0.773, 0.756)  -0.02
S (0.597, 0.227, 0.744)  -0.02
S (0.403, 0.773, 0.256)  -0.02
O (0.000, 0.500, 0.500)  -0.07
O (0.500, 0.500, 0.000)  -0.07

Values from the calculation:
Size of the total moment   0.3 Bohr magnetons per cell
E_form (uncorrected)   -0.9807 eV per atom
SG   P2_1/c, No. 14

Here is crystalline CsS3O at its relaxed geometry from the Alexandria database. Energies are from GGA-PBE.

Cell lengths 5.886, 5.886, 5.886 Å; angles 90.00, 90.00, 90.00 degrees
Last column: magnetic moment on the atom in μB.
Fractional positions:
S (0.000, 0.500, 0.000)  1.03
S (0.500, 0.000, 0.000)  0.73
S (0.000, 0.000, 0.500)  1.22
Cs (0.000, 0.000, 0.000)  0.24
O (0.500, 0.500, 0.500)  1.46

Values from the calculation:
Size of the total moment   7.0 Bohr magnetons per cell
E_form (uncorrected)   1.7829 eV per atom
DOS(E_F)   1.207 states/eV/atom
SG   Pm-3m, No. 221

Here is crystalline CsSO3 at its relaxed geometry from the Alexandria database. Energies are from GGA-PBE.

Cell lengths 4.952, 4.952, 4.952 Å; angles 79.90, 79.90, 79.90 degrees
Last column: magnetic moment on the atom in μB.
Fractional positions:
O (0.149, 0.540, 0.540)  0.15
O (0.540, 0.540, 0.149)  0.15
O (0.540, 0.149, 0.540)  0.15
Cs (0.972, 0.972, 0.972)  0.00
S (0.450, 0.450, 0.450)  0.21

Values from the calculation:
Size of the total moment   1.0 Bohr magnetons per cell
E_form (uncorrected)   -1.4847 eV per atom
SG   R3m, No. 160

Here is crystalline Cs2SO4 at its relaxed geometry from the Alexandria database. Energies are from GGA-PBE.

Cell lengths 6.466, 6.246, 8.805 Å; angles 90.00, 100.57, 90.00 degrees
Fractional positions:
S (0.288, 0.750, 0.229)
S (0.712, 0.250, 0.771)
O (0.579, 0.445, 0.731)
O (0.579, 0.055, 0.731)
O (0.421, 0.945, 0.269)
O (0.204, 0.750, 0.058)
O (0.891, 0.250, 0.684)
O (0.796, 0.250, 0.942)
O (0.109, 0.750, 0.316)
O (0.421, 0.555, 0.269)
Cs (0.772, 0.750, 0.527)
Cs (0.276, 0.250, 0.979)
Cs (0.724, 0.750, 0.021)
Cs (0.228, 0.250, 0.473)

Values from the calculation:
Size of the total moment   0.4 Bohr magnetons per cell
E_form (uncorrected)   -1.8593 eV per atom
DOS(E_F)   0.000 states/eV/atom
SG   P2_1/m, No. 11

Here is crystalline CsS2O at its relaxed geometry from the Alexandria database. Energies are from GGA-PBE.

Cell lengths 6.444, 6.444, 6.444 Å; angles 37.42, 37.42, 37.42 degrees
Fractional positions:
O (0.500, 0.500, 0.500)
S (0.180, 0.180, 0.180)
S (0.820, 0.820, 0.820)
Cs (0.000, 0.000, 0.000)

Values from the calculation:
Size of the total moment   0.0 Bohr magnetons per cell
E_form (uncorrected)   0.0148 eV per atom
DOS(E_F)   0.387 states/eV/atom
SG   R-3m, No. 166